Below is a relaxed structure of DyEr2Hg2, with properties calculated at the PBE level.

Energy of formation from the pure elements = -1.937 eV/f.u.
VASP energy = -0.2391 Ry/atom
E above lowest polymorph = 0.00 eV per formula unit
Magnetic moment = 0.000 μB/cell
ρ = 11269 kg/m³

Geometry as CIF:
```
data_DyEr2Hg2
_chemical_formula_sum 'Dy2 Er4 Hg4'
_cell_length_a 3.720
_cell_length_b 5.263
_cell_length_c 13.649
_cell_angle_alpha 90.00
_cell_angle_beta 97.88
_cell_angle_gamma 90.00
_symmetry_space_group_name_H-M 'P 1 21/m 1'
_symmetry_Int_Tables_number 11
_symmetry_space_group_name_Hall '-P 2yb'
loop_
_atom_site_label
_atom_site_type_symbol
_atom_site_fract_x
_atom_site_fract_y
_atom_site_fract_z
Dy1 Dy 0.147 0.250 0.293
Er1 Er 0.047 0.750 0.095
Er2 Er 0.236 0.750 0.472
Hg1 Hg 0.356 0.250 0.712
Hg2 Hg 0.453 0.750 0.906
```